[1]
3
Lattice="2.7570 0.0000 0.0000 0.0000 4.2618 0.0000 0.0000 -2.1309 3.6909" Properties=species:S:1:pos:R:3 comment="TiVIr, relaxed, DFT PBE" delta_e_f_ev_per_atom=-0.472 space_group="P3m1 (156)" polymorph_energy_ev_per_fu=0.00 pbc="T T T"
V 0.9116 0.0000 2.4606
Ir 1.8220 2.1309 1.2303
Ti 0.0234 0.0000 0.0000

***

[2]
18
Lattice="4.5923 0.0000 0.0000 0.0000 4.5923 0.0000 0.0000 0.0000 8.8868" Properties=species:S:1:pos:R:3 comment="Ti2GeO6, relaxed, DFT PBE" space_group="P4_2/mnm (136)" polymorph_energy_ev_per_fu=0.17 formation_energy_uncorrected_mev_per_atom=-2514 pbc="T T T"
O 1.4142 1.4142 5.8845
O 3.2096 3.2096 0.0000
O 0.8820 3.7103 7.4457
O 3.6789 0.9134 4.4434
O 1.4142 1.4142 3.0023
O 3.7103 0.8820 7.4457
O 3.1781 3.1781 5.8845
O 0.9134 3.6789 4.4434
O 1.3827 1.3827 0.0000
O 3.7103 0.8820 1.4411
O 3.1781 3.1781 3.0023
O 0.8820 3.7103 1.4411
Ti 2.2961 2.2961 7.4175
Ti 0.0000 0.0000 2.9741
Ti 2.2961 2.2961 1.4692
Ti 0.0000 0.0000 5.9126
Ge 0.0000 0.0000 0.0000
Ge 2.2961 2.2961 4.4434

***

no.,energy (eV per atom)
1,-9.10
2,-8.09